No. 1
DFT (PBE) results for a geometry-optimized Cd4S2Cl3 structure.

Properties
Volume   27.677 Å³/atom
Formation energy without anion corrections   -662.1 meV per atom
Crystal system   monoclinic
E_tot   -2.602 eV per atom

Cell: 7.236 8.448 8.448 Å, 99.59 82.31 82.31°
Atoms (fractional coordinates):
Cd1 0.482 0.629 0.744
Cd2 0.994 0.686 0.113
Cd3 0.006 0.314 0.887
Cd4 0.018 0.256 0.371
Cd5 0.982 0.744 0.629
Cd6 0.506 0.887 0.314
Cd7 0.518 0.371 0.256
Cd8 0.494 0.113 0.686
Cl1 0.111 0.014 0.753
Cl2 0.250 0.665 0.335
Cl3 0.889 0.986 0.247
Cl4 0.611 0.753 0.014
Cl5 0.750 0.335 0.665
Cl6 0.389 0.247 0.986
S1 0.355 0.188 0.424
S2 0.855 0.424 0.188
S3 0.145 0.576 0.812
S4 0.645 0.812 0.576



No. 2
DFT (PBE) results for a geometry-optimized CdSCl structure.

Properties
Volume   26.615 Å³/atom
Formation energy without anion corrections   -669.0 meV per atom
Crystal system   triclinic
E_tot   -2.965 eV per atom

Cell: 4.122 5.513 7.175 Å, 79.56 87.24 85.23°
Atoms (fractional coordinates):
S1 0.022 0.317 0.075
S2 0.978 0.683 0.925
Cd1 0.497 0.681 0.712
Cd2 0.503 0.319 0.288
Cl1 0.599 0.209 0.643
Cl2 0.401 0.791 0.357



No. 3
DFT (PBE) results for a geometry-optimized CdS4Cl structure.

Properties
Volume   25.948 Å³/atom
Formation energy without anion corrections   -212.7 meV per atom
Crystal system   triclinic
E_tot   -3.425 eV per atom

Cell: 8.386 4.219 5.205 Å, 95.15 109.39 112.31°
Atoms (fractional coordinates):
S1 0.613 0.249 0.079
S2 0.258 0.748 0.186
S3 0.742 0.252 0.814
S4 0.387 0.751 0.921
Cl1 0.000 0.000 0.500
Cd1 0.000 0.000 0.000



No. 4
DFT (PBE) results for a geometry-optimized CdS3Cl structure.

Properties
Volume   27.489 Å³/atom
Formation energy without anion corrections   898.4 meV per atom
Crystal system   cubic
E above lowest polymorph   1.1297 eV/atom
E_tot   -2.130 eV per atom

Cell: 5.161 5.161 5.161 Å, 90.00 90.00 90.00°
Atoms (fractional coordinates):
S1 0.000 0.000 0.500
S2 0.500 0.000 0.000
S3 0.000 0.500 0.000
Cd1 0.000 0.000 0.000
Cl1 0.500 0.500 0.500



No. 5
DFT (PBE) results for a geometry-optimized Cd2SCl structure.

Properties
Volume   30.422 Å³/atom
Formation energy without anion corrections   -466.4 meV per atom
Crystal system   tetragonal
E above lowest polymorph   0.0158 eV/atom
E_tot   -2.417 eV per atom

Cell: 6.216 6.216 7.681 Å, 66.13 66.13 90.00°
Atoms (fractional coordinates):
Cd1 0.875 0.841 0.750
Cd2 0.159 0.625 0.250
Cd3 0.591 0.125 0.250
Cd4 0.375 0.409 0.750
S1 0.250 0.750 0.500
S2 0.500 0.500 0.000
Cl1 0.750 0.250 0.500
Cl2 0.000 0.000 0.000



No. 6
DFT (PBE) results for a geometry-optimized CdSCl3 structure.

Properties
Volume   24.033 Å³/atom
Formation energy without anion corrections   31.6 meV per atom
Crystal system   cubic
E above lowest polymorph   0.0258 eV/atom
E_tot   -2.085 eV per atom

Cell: 4.935 4.935 4.935 Å, 90.00 90.00 90.00°
Atoms (fractional coordinates):
Cd1 0.500 0.500 0.500
Cl1 0.500 0.000 0.000
Cl2 0.000 0.000 0.500
Cl3 0.000 0.500 0.000
S1 0.000 0.000 0.000



No. 7
DFT (PBE) results for a geometry-optimized CdS3Cl structure.

Properties
Volume   20.864 Å³/atom
Formation energy without anion corrections   871.2 meV per atom
Crystal system   cubic
E above lowest polymorph   1.1024 eV/atom
E_tot   -2.158 eV per atom

Cell: 4.707 4.707 4.707 Å, 90.00 90.00 90.00°
Atoms (fractional coordinates):
S1 0.000 0.000 0.500
S2 0.000 0.500 0.000
S3 0.500 0.000 0.000
Cl1 0.000 0.000 0.000
Cd1 0.500 0.500 0.500



No. 8
DFT (PBE) results for a geometry-optimized CdS3Cl structure.

Properties
Volume   32.360 Å³/atom
Formation energy without anion corrections   -231.2 meV per atom
Crystal system   triclinic
E above lowest polymorph   0.0000 eV/atom
E_tot   -3.260 eV per atom

Cell: 6.006 7.778 7.049 Å, 88.41 79.49 88.81°
Atoms (fractional coordinates):
Cd1 0.757 0.521 0.350
Cd2 0.251 0.831 0.843
S1 0.527 0.892 0.068
S2 0.324 0.857 0.324
S3 0.035 0.462 0.579
S4 0.831 0.497 0.833
S5 0.546 0.808 0.507
S6 0.051 0.544 0.013
Cl1 0.467 0.357 0.246
Cl2 0.954 0.994 0.730



No. 9
DFT (PBE) results for a geometry-optimized CdS2Cl2 structure.

Properties
Volume   25.178 Å³/atom
Formation energy without anion corrections   118.3 meV per atom
Crystal system   tetragonal
E above lowest polymorph   0.6358 eV/atom
E_tot   -2.454 eV per atom

Cell: 5.505 5.505 5.693 Å, 61.09 61.09 90.00°
Atoms (fractional coordinates):
S1 0.388 0.388 0.224
S2 0.612 0.612 0.776
Cl1 0.750 0.250 0.500
Cl2 0.250 0.750 0.500
Cd1 0.000 0.000 0.000



No. 10
DFT (PBE) results for a geometry-optimized CdS2Cl2 structure.

Properties
Volume   22.326 Å³/atom
Formation energy without anion corrections   -48.0 meV per atom
Crystal system   tetragonal
E above lowest polymorph   0.4695 eV/atom
E_tot   -2.621 eV per atom

Cell: 6.828 6.828 4.788 Å, 90.00 90.00 90.00°
Atoms (fractional coordinates):
Cl1 0.753 0.253 0.500
Cl2 0.747 0.753 0.500
Cl3 0.247 0.747 0.500
Cl4 0.253 0.247 0.500
S1 0.599 0.099 0.000
S2 0.401 0.901 0.000
S3 0.901 0.599 0.000
S4 0.099 0.401 0.000
Cd1 0.500 0.500 0.000
Cd2 0.000 0.000 0.000



No. 11
DFT (PBE) results for a geometry-optimized Cd5S4Cl2 structure.

Properties
Volume   28.017 Å³/atom
Formation energy without anion corrections   -694.5 meV per atom
Crystal system   orthorhombic
E above lowest polymorph   0.0284 eV/atom
E_tot   -2.947 eV per atom

Cell: 10.146 10.146 10.146 Å, 141.05 101.16 91.65°
Atoms (fractional coordinates):
Cl1 0.605 0.809 0.415
Cl2 0.895 0.309 0.204
Cl3 0.105 0.691 0.796
Cl4 0.395 0.191 0.585
S1 0.694 0.638 0.660
S2 0.978 0.034 0.340
S3 0.022 0.966 0.660
S4 0.806 0.466 0.944
S5 0.478 0.138 0.944
S6 0.522 0.862 0.056
S7 0.306 0.362 0.340
S8 0.194 0.534 0.056
Cd1 0.099 0.305 0.404
Cd2 0.401 0.805 0.206
Cd3 0.750 0.750 0.000
Cd4 0.250 0.250 0.000
Cd5 0.546 0.250 0.296
Cd6 0.599 0.195 0.794
Cd7 0.046 0.750 0.296
Cd8 0.454 0.750 0.704
Cd9 0.901 0.695 0.596
Cd10 0.954 0.250 0.704



No. 12
DFT (PBE) results for a geometry-optimized Cd3S3Cl structure.

Properties
Volume   26.429 Å³/atom
Formation energy without anion corrections   -370.4 meV per atom
Crystal system   trigonal
E_tot   -2.795 eV per atom

Cell: 7.527 7.527 8.703 Å, 64.38 64.38 60.00°
Atoms (fractional coordinates):
Cd1 0.265 0.551 0.287
Cd2 0.551 0.898 0.287
Cd3 0.449 0.102 0.713
Cd4 0.735 0.449 0.713
Cd5 0.102 0.735 0.713
Cd6 0.898 0.265 0.287
Cl1 0.342 0.342 0.975
Cl2 0.658 0.658 0.025
S1 0.202 0.900 0.321
S2 0.900 0.578 0.321
S3 0.798 0.100 0.679
S4 0.422 0.798 0.679
S5 0.578 0.202 0.321
S6 0.100 0.422 0.679



No. 13
DFT (PBE) results for a geometry-optimized CdSCl3 structure.

Properties
Volume   28.275 Å³/atom
Formation energy without anion corrections   5.7 meV per atom
Crystal system   cubic
E above lowest polymorph   0.0000 eV/atom
E_tot   -2.111 eV per atom

Cell: 5.209 5.209 5.209 Å, 90.00 90.00 90.00°
Atoms (fractional coordinates):
Cd1 0.000 0.000 0.000
Cl1 0.500 0.000 0.000
Cl2 0.000 0.500 0.000
Cl3 0.000 0.000 0.500
S1 0.500 0.500 0.500